VASP calculation (PBE) on Ag2GeF after structural relaxation.

Calculated values
**Energy relative to the elements, uncorrected**: -0.304 eV/atom
**Fermi-level density of states**: 1.15 states/eV/f.u.
**Polymorph energy (0 for the lowest one)**: 0 meV per atom

a b c (Å): 6.9279 6.9279 5.7649
angles (deg): 90.00 90.00 90.00
With the nearest neighbours (Å) after each atom.
Space group I-42d (No. 122)
Asymmetric unit:
Ag 0.2263 0.7500 0.1250 x8  2 F 2.44, 2 Ge 2.67
Ge 0.0000 0.0000 0.5000 x4  4 Ag 2.67, 2 F 2.88
F 0.0000 0.0000 0.0000 x4  4 Ag 2.44

=====

VASP calculation (PBE) on Ag2GeF after structural relaxation.

Calculated values
**Energy relative to the elements, uncorrected**: -0.248 eV/atom
**Fermi-level density of states**: 1.73 states/eV/f.u.
**Polymorph energy (0 for the lowest one)**: 55 meV per atom

a b c (Å): 6.4023 6.4023 6.4023
angles (deg): 90.00 90.00 90.00
With the nearest neighbours (Å) after each atom.
Space group Fm-3m (No. 225)
Asymmetric unit:
Ag 0.2500 0.2500 0.2500 x8  4 Ge 2.77, 4 F 2.77
Ge 0.0000 0.0000 0.0000 x4  8 Ag 2.77
F 0.0000 0.0000 0.5000 x4  8 Ag 2.77

=====

VASP calculation (PBE) on Ag3GeF8 after structural relaxation.

Calculated values
**Energy relative to the elements, uncorrected**: -1.648 eV/atom
**Fermi-level density of states**: 5.97 states/eV/f.u.

a b c (Å): 5.6497 10.9770 6.8947
angles (deg): 90.00 90.00 90.00
With the nearest neighbours (Å) after each atom.
Space group C222 (No. 21)
Asymmetric unit:
Ag 0.0000 0.0000 0.0000 x2  2 F 2.18
Ag 0.2500 0.2500 0.7565 x4  4 F 2.27-2.42
Ge 0.0000 0.0000 0.5000 x2  6 F 1.82-1.88
F 0.0000 0.1715 0.5000 x4  1 Ge 1.88
F 0.0000 0.1987 0.0000 x4  3 Ag 2.18-2.27
F 0.2269 0.0061 0.6878 x8  1 Ge 1.82

=====

VASP calculation (PBE) on Ag2GeF6 after structural relaxation.

Calculated values
**Energy relative to the elements, uncorrected**: -1.842 eV/atom
**Fermi-level density of states**: 0.00 states/eV/f.u.
**Polymorph energy (0 for the lowest one)**: 0 meV per atom

a b c (Å): 5.9311 5.9726 9.9508
angles (deg): 90.00 126.03 90.00
With the nearest neighbours (Å) after each atom.
Space group P2_1/c (No. 14)
Asymmetric unit:
Ag 0.2486 0.0464 0.2526 x4  6 F 2.44-2.72
Ge 0.0000 0.0000 0.5000 x2  6 F 1.83-1.84
F 0.1482 0.0374 0.7203 x4  1 Ge 1.83
F 0.1683 0.7245 0.5444 x4  1 Ge 1.84
F 0.3100 0.1336 0.5346 x4  1 Ge 1.84

=====

VASP calculation (PBE) on AgGeF6 after structural relaxation.

Calculated values
**Energy relative to the elements, uncorrected**: -1.835 eV/atom
**Fermi-level density of states**: 0.47 states/eV/f.u.
**Polymorph energy (0 for the lowest one)**: 85 meV per atom

a b c (Å): 6.4178 7.6768 5.8930
angles (deg): 90.00 121.86 90.00
With the nearest neighbours (Å) after each atom.
Space group C2/m (No. 12)
Asymmetric unit:
Ag 0.0000 0.0000 0.0000 x2  2 F 2.12
Ge 0.0000 0.5000 0.5000 x2  6 F 1.81-1.89
F 0.1028 0.3374 0.7611 x8  1 Ge 1.81
F 0.1736 0.0000 0.4223 x4  1 Ge 1.89

=====

VASP calculation (PBE) on AgGe2F11 after structural relaxation.

Calculated values
**Energy relative to the elements, uncorrected**: -1.763 eV/atom
**Fermi-level density of states**: 11.46 states/eV/f.u.

a b c (Å): 7.5686 10.4680 10.5581
angles (deg): 90.00 90.00 90.00
With the nearest neighbours (Å) after each atom.
Space group Ibam (No. 72)
Asymmetric unit:
Ag 0.0000 0.0000 0.2500 x4  8 F 2.45-2.47
Ge 0.2475 0.2503 0.0000 x8  4 F 1.78
F 0.0000 0.5000 0.0000 x4  2 F 1.93
F 0.0022 0.3153 0.5000 x8  1 F 1.93, 2 Ge 2.01
F 0.1879 0.1381 0.1194 x16  1 Ge 1.78
F 0.1923 0.1382 0.3804 x16  1 Ge 1.78

=====

VASP calculation (PBE) on Ag3GeF after structural relaxation.

Calculated values
**Energy relative to the elements, uncorrected**: 0.278 eV/atom
**Fermi-level density of states**: 7.77 states/eV/f.u.
**Polymorph energy (0 for the lowest one)**: 218 meV per atom

a b c (Å): 4.9301 4.9301 4.9301
angles (deg): 90.00 90.00 90.00
With the nearest neighbours (Å) after each atom.
Space group Pm-3m (No. 221)
Asymmetric unit:
Ag 0.0000 0.0000 0.5000 x3  2 Ge 2.47
Ge 0.0000 0.0000 0.0000 x1  6 Ag 2.47
F 0.5000 0.5000 0.5000 x1  12 Ag 3.49

=====

VASP calculation (PBE) on AgGeF4 after structural relaxation.

Calculated values
**Energy relative to the elements, uncorrected**: -1.718 eV/atom
**Fermi-level density of states**: 1.10 states/eV/f.u.

a b c (Å): 4.0540 7.6586 6.3111
angles (deg): 90.00 90.33 90.00
With the nearest neighbours (Å) after each atom.
Space group P2_1/m (No. 11)
Asymmetric unit:
Ag 0.2454 0.2500 0.0963 x2  4 F 2.46-2.50
Ge 0.2503 0.7500 0.3652 x2  5 F 1.87-2.03
F 0.2482 0.5653 0.1723 x4  1 Ge 1.87
F 0.2499 0.2500 0.6239 x2  2 Ge 2.03
F 0.2534 0.7500 0.6735 x2  1 Ge 1.95

=====

Which value of energy relative to the elements, uncorrected does entry 7 give?
0.278 eV/atom

=====

Which of these has the lowest Fermi-level density of states?
Ag2GeF6

=====

What is the energy relative to the elements, uncorrected in the fifth record?
-1.835 eV/atom

=====

What is the formula in the eighth record?
AgGeF4